# 1
This record from Alexandria describes BeAg3Te at its PBEsol-relaxed geometry. The functional is meta-GGA SCAN.

Output
* total DFT energy (no corrections): -26.751 eV/atom
* space-group type: Pm-3m
* formation energy without anion corrections: 0.390 eV per atom

```
BeAg3Te
1.0
4.516 0.000 0.000
0.000 4.516 0.000
0.000 0.000 4.516
Be Ag Te
1 3 1
direct
0.000 0.000 0.000
0.000 0.000 0.500
0.000 0.500 0.000
0.500 0.000 0.000
0.500 0.500 0.500
```

---

# 2
This record from Alexandria describes BeAgTe2 at its PBEsol-relaxed geometry. The functional is meta-GGA SCAN.

Output
* total DFT energy (no corrections): -27.704 eV/atom
* space-group type: I-42d
* formation energy without anion corrections: -0.148 eV per atom

```
BeAgTe2
1.0
6.026 0.000 0.000
0.000 6.026 0.000
0.000 0.000 11.231
Be Ag Te
4 4 8
direct
0.000 0.000 0.000
0.000 0.500 0.250
0.500 0.000 0.750
0.500 0.500 0.500
0.000 0.000 0.500
0.000 0.500 0.750
0.500 0.000 0.250
0.500 0.500 0.000
0.210 0.250 0.125
0.250 0.710 0.375
0.250 0.790 0.875
0.290 0.250 0.625
0.710 0.750 0.625
0.750 0.210 0.875
0.750 0.290 0.375
0.790 0.750 0.125
```

---

# 3
This record from Alexandria describes Ti2Be2Ag at its PBEsol-relaxed geometry. The functional is meta-GGA SCAN.

Output
* total DFT energy (no corrections): -14.566 eV/atom
* space-group type: P4/mbm
* ΔH_f (0 K): -0.1395 eV per atom

```
Ti2Be2Ag
1.0
6.159 0.000 0.000
0.000 6.159 0.000
0.000 0.000 3.453
Ti Be Ag
4 4 2
direct
0.166 0.334 0.000
0.334 0.834 0.000
0.666 0.166 0.000
0.834 0.666 0.000
0.126 0.626 0.500
0.374 0.126 0.500
0.626 0.874 0.500
0.874 0.374 0.500
0.000 0.000 0.500
0.500 0.500 0.500
```

---

# 4
This record from Alexandria describes BeTlAg2 at its PBEsol-relaxed geometry. The functional is meta-GGA SCAN.

Output
* total DFT energy (no corrections): -34.437 eV/atom
* space-group type: Cmmm
* ΔH_f (0 K): 0.4240 eV per atom

```
BeTlAg2
1.0
5.579 0.000 0.000
0.000 8.072 0.000
0.000 0.000 3.049
Be Tl Ag
2 2 4
direct
0.000 0.000 0.000
0.500 0.500 0.000
0.000 0.500 0.000
0.500 0.000 0.000
0.250 0.250 0.500
0.250 0.750 0.500
0.750 0.250 0.500
0.750 0.750 0.500
```

---

# 5
This record from Alexandria describes BeTl4Ag at its PBEsol-relaxed geometry. The functional is meta-GGA SCAN.

Output
* total DFT energy (no corrections): -53.439 eV/atom
* space-group type: F-43m
* ΔH_f (0 K): 0.7536 eV per atom

```
BeTl4Ag
1.0
0.000 4.328 4.328
4.328 0.000 4.328
4.328 4.328 0.000
Be Tl Ag
1 4 1
direct
0.000 0.000 0.000
0.375 0.375 0.375
0.375 0.375 0.875
0.375 0.875 0.375
0.875 0.375 0.375
0.750 0.750 0.750
```

---

# 6
This record from Alexandria describes Y4BeAg at its PBEsol-relaxed geometry. The functional is meta-GGA SCAN.

Output
* total DFT energy (no corrections): -23.751 eV/atom
* space-group type: F-43m
* ΔH_f (0 K): 0.7640 eV per atom

```
Y4BeAg
1.0
0.000 4.274 4.274
4.274 0.000 4.274
4.274 4.274 0.000
Y Be Ag
4 1 1
direct
0.125 0.125 0.125
0.125 0.125 0.626
0.125 0.626 0.125
0.626 0.125 0.125
0.750 0.750 0.750
0.500 0.500 0.500
```

---

# 7
This record from Alexandria describes Y2BeAg at its PBEsol-relaxed geometry. The functional is meta-GGA SCAN.

Output
* total DFT energy (no corrections): -22.721 eV/atom
* space-group type: R-3m
* ΔH_f (0 K): 0.1306 eV per atom

```
Y2BeAg
1.0
3.608 0.000 0.000
-1.804 3.124 0.000
0.000 0.000 24.683
Y Be Ag
6 3 3
direct
0.000 0.000 0.243
0.000 0.000 0.757
0.333 0.667 0.424
0.333 0.667 0.910
0.667 0.333 0.090
0.667 0.333 0.576
0.000 0.000 0.500
0.333 0.667 0.167
0.667 0.333 0.833
0.000 0.000 0.000
0.333 0.667 0.667
0.667 0.333 0.333
```

---

# 8
This record from Alexandria describes Y2BeAg at its PBEsol-relaxed geometry. The functional is meta-GGA SCAN.

Output
* total DFT energy (no corrections): -23.026 eV/atom
* space-group type: P4/mmm
* ΔH_f (0 K): -0.1748 eV per atom

```
Y2BeAg
1.0
3.460 0.000 0.000
0.000 3.460 0.000
0.000 0.000 7.000
Y Be Ag
2 1 1
direct
0.000 0.000 0.232
0.000 0.000 0.768
0.500 0.500 0.000
0.500 0.500 0.500
```